Entry 1:
## LaSe2Cl (PBE)

Data for crystalline LaSe2Cl at its relaxed geometry.

Formation energy (no corrections) (meV per atom): -1183
Space group: R-3m (166)

Cell lengths 8.236, 8.236, 8.236 Å; angles 32.83, 32.83, 32.83 degrees
Sites, in units of the cell vectors:
Cl (0.000, 0.000, 0.000)
Se (0.893, 0.893, 0.893)
Se (0.107, 0.107, 0.107)
La (0.500, 0.500, 0.500)

Entry 2:
## Sr2TaNb (PBE)

Data for crystalline Sr2TaNb at its relaxed geometry.

Space group: Fm-3m (225)
Formation energy from the elements (kJ/mol of formula units): 590

Cell lengths 5.463, 5.463, 5.463 Å; angles 60.00, 60.00, 60.00 degrees
Last column: magnetic moment on the atom in μB.
Sites, in units of the cell vectors:
Sr (0.250, 0.250, 0.250)  0.11
Sr (0.750, 0.750, 0.750)  0.11
Ta (0.500, 0.500, 0.500)  0.75
Nb (0.000, 0.000, 0.000)  1.83

Entry 3:
## Pr2UPN5 (PBE)

Data for crystalline Pr2UPN5 at its relaxed geometry.

Formation energy (no corrections) (meV per atom): -631
Space group: P4/mbm (127)

Cell lengths 5.829, 6.512, 6.512 Å; angles 90.00, 90.00, 90.00 degrees
Last column: magnetic moment on the atom in μB.
Sites, in units of the cell vectors:
P (0.000, 0.000, 0.500)  0.01
P (0.000, 0.500, 0.000)  0.01
N (0.204, 0.864, 0.364)  -0.05
N (0.796, 0.136, 0.636)  -0.05
N (0.796, 0.864, 0.364)  -0.05
N (0.204, 0.364, 0.136)  -0.05
N (0.204, 0.636, 0.864)  -0.05
N (0.796, 0.636, 0.864)  -0.05
N (0.500, 0.500, 0.500)  -0.08
N (0.204, 0.136, 0.636)  -0.05
N (0.500, 0.000, 0.000)  -0.08
N (0.796, 0.364, 0.136)  -0.05
Pr (0.500, 0.327, 0.827)  0.00
Pr (0.500, 0.673, 0.173)  0.00
Pr (0.500, 0.173, 0.327)  0.00
Pr (0.500, 0.827, 0.673)  0.00
U (0.000, 0.000, 0.000)  2.16
U (0.000, 0.500, 0.500)  2.16

Entry 4:
## Th2FeBi (PBE)

Data for crystalline Th2FeBi at its relaxed geometry.

Space group: R-3m (166)
Formation energy from the elements (kJ/mol of formula units): 9

Cell lengths 3.896, 3.896, 9.911 Å; angles 78.67, 78.67, 60.00 degrees
Sites, in units of the cell vectors:
Bi (0.000, 0.000, 0.000)
Th (0.884, 0.884, 0.348)
Th (0.116, 0.116, 0.652)
Fe (0.500, 0.500, 0.500)